1.
A plane-wave DFT calculation with PBE-GGA was carried out for Hf2MgSb after structural relaxation.

```
4
Lattice="-1.692 -4.451 -1.399 1.281 -4.057 2.556 -3.376 -2.355 2.772" Properties=species:S:1:pos:R:3 pbc="T T T"
Sb -1.894 -5.432 1.964
Mg 0.000 0.000 0.000
Hf -0.947 -2.716 0.982
Hf -2.840 -8.148 2.946
```

- distance to the lowest polymorph of the same formula (meV per atom) = 0
- ΔE_f (raw) (meV/atom) = 25.7

***

2.
A plane-wave DFT calculation with PBE-GGA was carried out for Be2PO after structural relaxation.

```
4
Lattice="0.000 2.728 2.728 2.728 0.000 2.728 2.728 2.728 0.000" Properties=species:S:1:pos:R:3 pbc="T T T"
P 2.728 2.728 2.728
O 0.000 0.000 0.000
Be 1.364 1.364 1.364
Be 4.091 4.091 4.091
```

- distance to the lowest polymorph of the same formula (meV per atom) = 1340
- ΔE_f (raw) (meV/atom) = 260.2

***

3.
A plane-wave DFT calculation with PBE-GGA was carried out for Sm2TeIr after structural relaxation.

```
4
Lattice="4.202 0.001 -0.002 -2.099 3.640 0.002 -2.092 -1.219 7.392" Properties=species:S:1:pos:R:3 pbc="T T T"
Sm 0.007 -0.004 5.842
Sm 0.004 2.425 1.550
Te -2.096 1.210 3.697
Ir 4.202 0.001 -0.002
```

- distance to the lowest polymorph of the same formula (meV per atom) = 0
- ΔE_f (raw) (meV/atom) = -1012.7

***

4.
A plane-wave DFT calculation with PBE-GGA was carried out for ZrBeCdH2 after structural relaxation.

```
5
Lattice="-0.907 0.832 -3.707 -4.067 -1.869 0.575 -1.429 3.457 1.125" Properties=species:S:1:pos:R:3 pbc="T T T"
Be 0.000 0.000 0.000
H -0.715 1.728 0.563
H -0.453 0.416 -1.854
Zr -3.202 1.210 -1.003
Cd -2.034 -0.935 0.288
```

- VASP energy (eV per atom) = -3.201

***

5.
A plane-wave DFT calculation with PBE-GGA was carried out for InPd3Au6 after structural relaxation.

```
20
Lattice="-2.701 -3.227 -3.232 8.234 -2.287 -4.597 -4.582 -3.828 7.649" Properties=species:S:1:pos:R:3 pbc="T T T"
In -2.606 -3.628 5.685
In 4.837 -4.184 -4.333
Pd 3.236 -6.374 -0.514
Pd -1.186 -8.357 0.806
Pd -0.041 -3.873 2.126
Pd 1.242 -5.170 -2.007
Pd -3.522 -4.445 -1.147
Pd 0.900 -2.462 -2.467
Au 2.683 -4.391 1.418
Au 0.503 -6.104 0.595
Au -1.249 -5.619 3.962
Au 3.326 -6.520 -3.316
Au 7.243 -3.270 -5.380
Au -2.331 -5.672 1.261
Au 3.396 -3.532 -1.304
Au -6.550 -6.379 4.892
Au -2.693 -3.201 2.755
Au 1.882 -4.102 -4.523
Au 1.350 -2.159 0.304
Au -0.830 -3.872 -0.519
```

- ΔE_f (meV/atom) = -60
- distance to the lowest polymorph of the same formula (meV per atom) = 42

***

6.
A plane-wave DFT calculation with PBE-GGA was carried out for K2TcIr after structural relaxation.

```
4
Lattice="5.080 0.000 0.000 2.540 4.399 0.000 2.540 1.466 4.148" Properties=species:S:1:pos:R:3 pbc="T T T"
Ir 5.080 2.933 2.074
K 0.000 0.000 0.000
K 2.540 1.466 1.037
Tc 7.620 4.399 3.111
```

- ΔE_f (meV/atom) = 1399
- distance to the lowest polymorph of the same formula (meV per atom) = 870

***

7.
A plane-wave DFT calculation with PBE-GGA was carried out for MnTcMoIr after structural relaxation.

```
4
Lattice="-1.113 -2.640 3.295 1.789 -3.971 0.316 2.870 -0.855 3.178" Properties=species:S:1:pos:R:3 pbc="T T T"
Mo 0.886 -1.866 1.697
Ir 0.000 0.000 0.000
Tc 1.773 -3.732 3.395
Mn 2.659 -5.599 5.092
```

- ΔE_f (meV/atom) = -4

***

8.
A plane-wave DFT calculation with PBE-GGA was carried out for Ce3Pr2ErTe6 after structural relaxation.

```
12
Lattice="4.443 0.000 0.000 0.000 9.027 0.294 -2.222 -2.626 9.418" Properties=species:S:1:pos:R:3 pbc="T T T"
Ce 2.222 4.514 0.147
Ce 2.222 -0.248 6.253
Ce 0.000 6.649 3.459
Pr 2.222 4.250 6.458
Pr 0.000 2.151 3.253
Er 2.222 0.000 0.000
Te 0.000 6.529 6.650
Te 2.222 4.421 3.291
Te 2.222 -0.129 3.061
Te 2.222 -0.463 9.449
Te 0.000 6.864 0.263
Te 0.000 1.980 6.421
```

- ΔE_f (raw) (meV/atom) = -1372.5

***

9.
A plane-wave DFT calculation with PBE-GGA was carried out for LiThMg2Si2 after structural relaxation.

```
6
Lattice="4.188 0.000 0.000 0.000 4.188 0.000 -2.094 -2.094 7.568" Properties=species:S:1:pos:R:3 pbc="T T T"
Li 0.000 0.000 0.000
Th 2.094 2.094 0.000
Mg 0.000 2.094 3.784
Mg 2.094 0.000 3.784
Si 2.094 2.094 5.453
Si 0.000 0.000 2.115
```

- ΔE_f (raw) (meV/atom) = 203.0

***

10.
A plane-wave DFT calculation with PBE-GGA was carried out for ZnCr2Cu after structural relaxation.

```
4
Lattice="2.446 0.000 0.000 0.000 2.446 0.000 0.000 0.000 8.133" Properties=species:S:1:pos:R:3 pbc="T T T"
Cr 0.000 0.000 0.035
Cr 0.000 0.000 4.031
Cu 1.223 1.223 2.033
Zn 1.223 1.223 6.100
```

- ΔE_f (meV/atom) = 255

***

11.
A plane-wave DFT calculation with PBE-GGA was carried out for Ta2PAu after structural relaxation.

```
4
Lattice="-3.099 4.996 5.930 -0.807 3.432 7.570 -0.043 6.012 5.796" Properties=species:S:1:pos:R:3 pbc="T T T"
Ta -3.925 14.351 19.176
Ta -2.956 10.807 14.440
P -1.015 3.713 4.961
Au -1.978 7.231 9.662
```

- ΔE_f (meV/atom) = 20

***

12.
A plane-wave DFT calculation with PBE-GGA was carried out for LaNiPb after structural relaxation.

```
3
Lattice="-5.839 -2.248 1.585 -4.024 -5.012 0.583 0.263 -1.019 3.290" Properties=species:S:1:pos:R:3 pbc="T T T"
La -9.630 -7.117 2.193
Ni -3.033 -3.051 2.925
Pb -6.799 -5.373 2.507
```

- ΔE_f (meV/atom) = -197

***

13.
A plane-wave DFT calculation with PBE-GGA was carried out for Ca2Zn7Ag after structural relaxation.

```
10
Lattice="4.121 0.000 0.000 0.000 4.121 0.000 0.000 0.000 11.525" Properties=species:S:1:pos:R:3 pbc="T T T"
Ca 2.061 0.000 8.608
Ca 0.000 2.061 2.917
Zn 0.000 2.061 9.861
Zn 2.061 0.000 4.178
Zn 2.061 0.000 1.664
Zn 0.000 2.061 7.346
Zn 0.000 0.000 5.762
Zn 0.000 0.000 0.000
Zn 2.061 2.061 5.762
Ag 2.061 2.061 0.000
```

- ΔE_f (meV/atom) = -218

***

14.
A plane-wave DFT calculation with PBE-GGA was carried out for Cs4AcBr6 after structural relaxation.

```
22
Lattice="10.445 0.000 0.000 0.000 10.445 0.000 0.000 0.000 10.983" Properties=species:S:1:pos:R:3 pbc="T T T"
Cs 3.362 1.860 2.746
Cs 1.860 7.082 8.237
Cs 7.082 8.585 8.237
Cs 8.585 3.362 8.237
Cs 3.362 1.860 8.237
Cs 1.860 7.082 2.746
Cs 8.585 3.362 2.746
Cs 7.082 8.585 2.746
Ac 5.222 5.222 0.000
Ac 0.000 0.000 5.491
Br 2.936 9.554 5.491
Br 8.159 6.113 0.000
Br 6.113 2.286 0.000
Br 0.891 2.936 5.491
Br 0.000 0.000 2.445
Br 5.222 5.222 3.047
Br 4.332 8.159 0.000
Br 0.000 0.000 8.538
Br 2.286 4.332 0.000
Br 5.222 5.222 7.936
Br 9.554 7.508 5.491
Br 7.508 0.891 5.491
```

- ΔE_f (raw) (meV/atom) = -1704.2

***

15.
A plane-wave DFT calculation with PBE-GGA was carried out for AlSb2PbI after structural relaxation.

```
5
Lattice="-1.360 -3.634 3.713 1.092 -3.952 -3.468 5.253 -0.128 1.799" Properties=species:S:1:pos:R:3 pbc="T T T"
Pb 2.493 -3.857 1.022
I 2.627 -0.064 0.899
Al 0.000 0.000 0.000
Sb 0.546 -1.976 -1.734
Sb -0.680 -1.817 1.856
```

- distance to the lowest polymorph of the same formula (meV per atom) = 0
- ΔE_f (raw) (meV/atom) = 296.7

***

16.
A plane-wave DFT calculation with PBE-GGA was carried out for BeAsIr2 after structural relaxation.

```
4
Lattice="-4.253 -1.418 2.086 -1.573 -4.622 -0.780 4.178 2.244 1.399" Properties=species:S:1:pos:R:3 pbc="T T T"
Be -1.494 -1.098 2.069
As -2.913 -3.020 0.653
Ir 0.000 0.000 0.000
Ir -0.154 -2.700 0.636
```

- ΔE_f (meV/atom) = 112
- distance to the lowest polymorph of the same formula (meV per atom) = 275

***

17.
A plane-wave DFT calculation with PBE-GGA was carried out for ZrAgB after structural relaxation.

```
12
Lattice="-3.913 -0.914 -4.204 2.211 -0.553 -1.938 -0.360 -10.963 2.719" Properties=species:S:1:pos:R:3 pbc="T T T"
B -3.025 -9.648 -1.853
B -1.027 -4.277 -3.416
B 0.963 -2.782 -1.571
B -1.035 -8.154 -0.008
Zr -0.919 -4.256 -0.988
Zr 0.744 -9.842 0.194
Zr -1.143 -8.174 -2.436
Zr -2.806 -2.588 -3.617
Ag -2.895 -5.605 -2.858
Ag -1.252 -11.196 -1.697
Ag 0.833 -6.825 -0.565
Ag -0.810 -1.234 -1.727
```

- ΔE_f (meV/atom) = 223

***

18.
A plane-wave DFT calculation with PBE-GGA was carried out for VHI2N after structural relaxation.

```
5
Lattice="5.364 0.000 0.000 0.000 5.364 0.000 0.000 0.000 3.094" Properties=species:S:1:pos:R:3 pbc="T T T"
I 0.000 2.682 0.000
I 2.682 0.000 0.000
H 0.000 0.000 0.000
N 0.000 0.000 1.547
V 2.682 2.682 1.547
```

- distance to the lowest polymorph of the same formula (meV per atom) = 960

***

19.
A plane-wave DFT calculation with PBE-GGA was carried out for HfP2OF after structural relaxation.

```
5
Lattice="5.133 0.000 0.000 0.000 5.133 0.000 0.000 0.000 3.957" Properties=species:S:1:pos:R:3 pbc="T T T"
P 0.000 2.567 0.000
P 2.567 0.000 0.000
Hf 0.000 0.000 0.000
O 0.000 0.000 1.979
F 2.567 2.567 1.979
```

- distance to the lowest polymorph of the same formula (meV per atom) = 0
- ΔE_f (raw) (meV/atom) = -454.7

***

20.
A plane-wave DFT calculation with PBE-GGA was carried out for Re2SnPSe after structural relaxation.

```
5
Lattice="-3.215 2.346 2.022 -2.013 -4.395 1.899 2.569 0.391 3.629" Properties=species:S:1:pos:R:3 pbc="T T T"
Re 1.284 0.196 1.815
Re -1.607 1.173 1.011
Sn -1.006 -2.198 0.949
Se -1.329 -0.829 3.775
P 0.000 0.000 0.000
```

- ΔE_f (raw) (meV/atom) = 1210.5

***

21.
A plane-wave DFT calculation with PBE-GGA was carried out for HgTe2Br after structural relaxation.

```
4
Lattice="-0.709 -6.699 4.048 0.217 -7.856 -0.013 3.379 -6.584 2.646" Properties=species:S:1:pos:R:3 pbc="T T T"
Te 0.035 -0.256 0.081
Te 1.408 -10.313 3.259
Hg 2.164 -15.853 5.011
Br 0.721 -5.284 1.670
```

- distance to the lowest polymorph of the same formula (meV per atom) = 214
- ΔE_f (raw) (meV/atom) = 103.2

***

22.
A plane-wave DFT calculation with PBE-GGA was carried out for Dy2HgBr after structural relaxation.

```
4
Lattice="3.655 0.000 0.000 1.828 3.166 0.000 1.828 1.055 9.210" Properties=species:S:1:pos:R:3 pbc="T T T"
Dy 1.828 1.055 6.879
Dy 1.828 1.055 2.326
Hg 5.483 3.166 9.207
Br 3.655 2.110 4.614
```

- distance to the lowest polymorph of the same formula (meV per atom) = 0
- ΔE_f (raw) (meV/atom) = -709.3

***

23.
A plane-wave DFT calculation with PBE-GGA was carried out for TiCo2Te after structural relaxation.

```
8
Lattice="-0.767 3.955 0.262 -3.963 -0.759 -0.143 -2.545 1.036 8.007" Properties=species:S:1:pos:R:3 pbc="T T T"
Te 0.000 0.000 0.000
Te -2.839 3.295 4.164
Co -1.600 2.579 2.144
Co -3.220 0.336 1.949
Co -3.740 1.965 6.048
Co -5.991 3.585 6.112
Ti -2.365 1.598 0.060
Ti -4.437 0.937 3.962
```

- ΔE_f (raw) (meV/atom) = 183.7

***

24.
A plane-wave DFT calculation with PBE-GGA was carried out for TeW2Cl after structural relaxation.

```
4
Lattice="-4.364 -3.833 -0.147 4.904 -2.955 -0.991 0.368 -1.924 2.043" Properties=species:S:1:pos:R:3 pbc="T T T"
Cl -1.998 -2.878 0.948
Te 2.636 -2.439 0.526
W 0.000 0.000 0.000
W 0.270 -3.394 -0.569
```

- distance to the lowest polymorph of the same formula (meV per atom) = 1032
- ΔE_f (raw) (meV/atom) = 1117.4

***

25.
A plane-wave DFT calculation with PBE-GGA was carried out for Dy2ZrNb after structural relaxation.

```
4
Lattice="-2.311 -2.136 0.712 0.709 -3.143 0.183 1.763 -0.605 11.213" Properties=species:S:1:pos:R:3 pbc="T T T"
Nb 0.000 0.000 0.000
Zr 0.080 -2.942 6.055
Dy 1.166 -0.905 8.376
Dy -1.005 -4.979 3.733
```

- ΔE_f (meV/atom) = 505

***

26.
A plane-wave DFT calculation with PBE-GGA was carried out for K3SnAu after structural relaxation.

```
20
Lattice="4.970 0.000 0.000 0.000 12.930 0.000 0.000 0.000 12.930" Properties=species:S:1:pos:R:3 pbc="T T T"
K 2.485 8.783 12.605
K 0.000 2.318 6.791
K 0.000 10.613 6.139
K 0.000 11.667 11.667
K 0.000 6.791 2.318
K 2.485 7.729 5.201
K 0.000 1.264 1.264
K 2.485 4.147 0.326
K 2.485 12.605 8.783
K 0.000 6.139 10.613
K 2.485 0.326 4.147
K 2.485 5.201 7.729
Sn 2.485 4.109 4.109
Sn 0.000 10.574 2.356
Sn 2.485 8.822 8.822
Sn 0.000 2.356 10.574
Au 2.485 11.377 1.554
Au 0.000 8.019 8.019
Au 2.485 1.554 11.377
Au 0.000 4.911 4.911
```

- ΔE_f (meV/atom) = -186
- distance to the lowest polymorph of the same formula (meV per atom) = 0